Crystalline La8Mg2Ag at its relaxed geometry, computed with GGA-PBE.

abc: 8.9228 8.9228 8.9981
angles: 119.76 119.76 37.04
Fractional coordinates of all 11 atoms:
La: 0.0719 0.0719 0.2225
La: 0.1333 0.1333 0.6805
La: 0.3213 0.3213 0.5531
La: 0.4113 0.4113 0.0564
La: 0.5887 0.5887 0.9436
La: 0.6787 0.6787 0.4469
La: 0.8667 0.8667 0.3195
La: 0.9281 0.9281 0.7775
Mg: 0.2298 0.2298 0.1130
Mg: 0.7702 0.7702 0.8870
Ag: 0.5000 0.5000 0.5000

Output
- Space-group type: C2/m
- Crystal system: monoclinic
- DFT total energy: -46.0 eV/f.u.